Material: GdHoPBr2
Method: DFT, PBE
State: optimized geometry

a = 4.0099 Å, b = 4.0099 Å, c = 10.8615 Å
α = 90.00°, β = 90.00°, γ = 120.00°
Last column: nearest neighbours and their distance in Å.
Space group P3m1 (No. 156)
Symmetry-distinct sites (fractional):
Gd 0.0000 0.0000 0.0000 x1  3 P 2.79, 3 Br 2.96
Ho 0.3333 0.6667 0.2809 x1  3 P 2.75, 3 Br 2.94
P 0.6667 0.3333 0.1438 x1  3 Ho 2.75, 3 Gd 2.79
Br 0.0000 0.0000 0.4474 x1  3 Ho 2.94
Br 0.3333 0.6667 0.8295 x1  3 Gd 2.96

---

Material: Nb4As2CN
Method: DFT, PBE
State: optimized geometry

a = 3.3274 Å, b = 3.3274 Å, c = 12.0631 Å
α = 90.00°, β = 90.00°, γ = 120.00°
Last column: nearest neighbours and their distance in Å.
Space group P-3m1 (No. 164)
Symmetry-distinct sites (fractional):
Nb 0.3333 0.6667 0.0945 x2  3 C 2.23
Nb 0.3333 0.6667 0.4087 x2  3 N 2.21
As 0.3333 0.6667 0.7481 x2  6 Nb 2.70
C 0.0000 0.0000 0.0000 x1  6 Nb 2.23
N 0.0000 0.0000 0.5000 x1  6 Nb 2.21

---

Material: BeTcIr2
Method: DFT, PBE
State: optimized geometry

a = 6.0070 Å, b = 6.0070 Å, c = 6.0070 Å
α = 90.00°, β = 90.00°, γ = 90.00°
Last column: nearest neighbours and their distance in Å.
Space group F-43m (No. 216)
Symmetry-distinct sites (fractional):
Be 0.0000 0.0000 0.0000 x4  4 Tc 2.60, 4 Ir 2.60
Tc 0.2500 0.2500 0.7500 x4  4 Be 2.60, 4 Ir 2.60
Ir 0.0000 0.0000 0.5000 x4  4 Tc 2.60, 4 Ir 2.60
Ir 0.2500 0.2500 0.2500 x4  4 Be 2.60, 4 Ir 2.60

---

no.,electronic total energy (eV per atom)
1,-5.371
2,-9.069
3,-7.834